No. 1
LaPm12Tm7 | PBE-GGA | optimized geometry

Calculated values
The value obtained for the calculated density is 6.66 g/cm3. The size of the total moment is 0.00 μB/cell. The value obtained for the offset from the most stable computed form is 0.578 eV/atom. The calculation puts the formation energy at 0.67 eV/atom.

Unit cell a=11.5117 b=11.5117 c=11.5117 alpha=90.00 beta=90.00 gamma=90.00
Last column: nearest neighbours and their distance in Å.
Space group Im-3 (No. 204)
Asymmetric unit:
La  0.0000  0.0000  0.0000 (multiplicity 2)  12 Pm 4.21
Pm  0.0000  0.2430  0.2734 (multiplicity 24)  2 Tm 2.89
Tm  0.0000  0.0000  0.5000 (multiplicity 6)  8 Pm 3.82-3.94
Tm  0.2500  0.2500  0.2500 (multiplicity 8)  6 Pm 2.89



No. 2
LaPm3Tm | PBE-GGA | optimized geometry

Calculated values
The value obtained for the calculated density is 6.56 g/cm3. The size of the total moment is 0.00 μB/cell. The value obtained for the offset from the most stable computed form is 0.243 eV/atom. The calculation puts the formation energy at 0.37 eV/atom.

Unit cell a=6.2031 b=6.2031 c=33.8549 alpha=90.00 beta=90.00 gamma=120.00
Last column: nearest neighbours and their distance in Å.
Space group R-3 (No. 148, hexagonal axes)
Asymmetric unit:
La  0.0000  0.0000  0.1660 (multiplicity 6)  6 Pm 3.53-3.60, 3 La 3.58
Pm  0.0026  0.6638  0.7477 (multiplicity 18)  2 Tm 3.41-3.47, 2 La 3.53-3.60, 6 Pm 3.54-3.63
Tm  0.0000  0.0000  0.3340 (multiplicity 6)  6 Pm 3.41-3.47, 3 Tm 3.58



No. 3
La3Pm6Tm2 | PBE-GGA | optimized geometry

Calculated values
The value obtained for the calculated density is 7.16 g/cm3. The size of the total moment is 0.00 μB/cell. The calculation puts the formation energy at 0.02 eV/atom.

Unit cell a=3.6430 b=3.6430 c=98.3949 alpha=90.00 beta=90.00 gamma=120.00
Last column: nearest neighbours and their distance in Å.
Space group R-3m (No. 166, hexagonal axes)
Asymmetric unit:
La  0.0000  0.0000  0.0000 (multiplicity 3)  6 La 3.64, 6 Pm 3.70
La  0.0000  0.0000  0.2715 (multiplicity 6)  6 La 3.64, 6 Pm 3.70-3.72
Pm  0.0000  0.0000  0.0930 (multiplicity 6)  3 Tm 3.56, 6 Pm 3.64, 3 La 3.72
Pm  0.0000  0.0000  0.1819 (multiplicity 6)  3 Tm 3.57, 9 Pm 3.64-3.67
Pm  0.0000  0.0000  0.3643 (multiplicity 6)  6 Pm 3.64, 6 La 3.70
Tm  0.0000  0.0000  0.4555 (multiplicity 6)  6 Pm 3.56-3.57, 6 Tm 3.64



No. 4
LaPm12Tm3 | PBE-GGA | optimized geometry

Calculated values
The value obtained for the calculated density is 7.34 g/cm3. The size of the total moment is 0.00 μB/cell. The calculation puts the formation energy at 0.02 eV/atom.

Unit cell a=5.1285 b=5.1285 c=20.5082 alpha=90.00 beta=90.00 gamma=90.00
Last column: nearest neighbours and their distance in Å.
Space group P4/mmm (No. 123)
Asymmetric unit:
La  0.0000  0.0000  0.0000 (multiplicity 1)  12 Pm 3.63-3.68
Pm  0.0000  0.5000  0.1288 (multiplicity 4)  2 Tm 3.61, 8 Pm 3.63-3.68, 2 La 3.68
Pm  0.0000  0.5000  0.3763 (multiplicity 4)  8 Pm 3.59-3.63, 4 Tm 3.61
Pm  0.5000  0.5000  0.0000 (multiplicity 1)  4 La 3.63, 8 Pm 3.68
Pm  0.5000  0.5000  0.2537 (multiplicity 2)  8 Pm 3.59-3.63, 4 Tm 3.63
Pm  0.5000  0.5000  0.5000 (multiplicity 1)  8 Pm 3.61, 4 Tm 3.63
Tm  0.0000  0.0000  0.2524 (multiplicity 2)  12 Pm 3.61-3.63
Tm  0.0000  0.0000  0.5000 (multiplicity 1)  12 Pm 3.61-3.63



No. 5
La3Pm3Tm | PBE-GGA | optimized geometry

Calculated values
The value obtained for the calculated density is 6.78 g/cm3. The size of the total moment is 0.00 μB/cell. The value obtained for the offset from the most stable computed form is 0.195 eV/atom. The calculation puts the formation energy at 0.23 eV/atom.

Unit cell a=8.8548 b=8.8548 c=22.0736 alpha=90.00 beta=90.00 gamma=120.00
Last column: nearest neighbours and their distance in Å.
Space group R-3 (No. 148, hexagonal axes)
Asymmetric unit:
La  0.0032  0.7555  0.0573 (multiplicity 18)  3 Pm 3.27-3.49, 2 La 3.34, 1 Tm 3.52
Pm  0.0521  0.6042  0.8808 (multiplicity 18)  3 La 3.27-3.49
Tm  0.0000  0.0000  0.3477 (multiplicity 6)  6 La 3.52-3.77, 6 Pm 3.72-3.82



No. 6
LaPm2Tm4 | PBE-GGA | optimized geometry

Calculated values
The value obtained for the calculated density is 7.78 g/cm3. The size of the total moment is 0.01 μB/cell. The value obtained for the offset from the most stable computed form is 0.063 eV/atom. The calculation puts the formation energy at 0.22 eV/atom.

Unit cell a=8.4944 b=8.4944 c=6.5312 alpha=90.00 beta=90.00 gamma=90.00
Last column: nearest neighbours and their distance in Å.
Space group I4/mmm (No. 139)
Asymmetric unit:
La  0.0000  0.0000  0.0000 (multiplicity 2)  12 Tm 3.65-4.03
Pm  0.0000  0.5000  0.2500 (multiplicity 4)  2 Pm 3.27, 8 Tm 3.48
Tm  0.1961  0.1961  0.5000 (multiplicity 8)  4 Tm 3.33-3.51, 4 Pm 3.48, 1 La 3.65